1.
This record from Alexandria via LeMat-Bulk describes a PBEsol-optimized structure of Sr4Ru3O10. The functional is SCAN.

Calculated values
Fermi-level density of states: 0.159 states/eV per atom
Mass density: 6315 kg/m3
Uncorrected formation energy: -50.89 kcal/mol of atoms
V: 856 Å³ per cell

```
data_Sr4Ru3O10
_chemical_formula_sum 'Sr16 Ru12 O40'
_symmetry_space_group_name_H-M 'C m c e'
_symmetry_Int_Tables_number 64
_symmetry_space_group_name_Hall '-C 2ac 2'
_cell_length_a 28.490
_cell_length_b 5.481
_cell_length_c 5.481
_cell_angle_alpha 90.00
_cell_angle_beta 90.00
_cell_angle_gamma 90.00
loop_
_atom_site_label
_atom_site_type_symbol
_atom_site_fract_x
_atom_site_fract_y
_atom_site_fract_z
Sr1 Sr 0.070 0.000 0.000
Sr2 Sr 0.204 0.000 0.000
Ru1 Ru 0.000 0.000 0.500
Ru2 Ru 0.140 0.000 0.500
O1 O 0.000 0.201 0.201
O2 O 0.069 0.000 0.500
O3 O 0.139 0.213 0.787
O4 O 0.210 0.000 0.500
```


2.
This record from Alexandria via LeMat-Bulk describes a PBEsol-optimized structure of Sr4Ru3O12. The functional is SCAN.

Calculated values
Fermi-level density of states: 0.476 states/eV per atom
Mass density: 5941 kg/m3
Uncorrected formation energy: -47.37 kcal/mol of atoms
V: 946 Å³ per cell

```
data_Sr4Ru3O12
_chemical_formula_sum 'Sr16 Ru12 O48'
_symmetry_space_group_name_H-M 'P n m a'
_symmetry_Int_Tables_number 62
_cell_length_a 18.000
_cell_length_b 5.480
_cell_length_c 9.586
_cell_angle_alpha 90.00
_cell_angle_beta 90.00
_cell_angle_gamma 90.00
loop_
_symmetry_equiv_pos_as_xyz
'x,y,z'
'-x,-y,-z'
'-x+1/2,-y,z+1/2'
'x+1/2,y,-z+1/2'
'x+1/2,-y+1/2,-z+1/2'
'-x+1/2,y+1/2,z+1/2'
'-x,y+1/2,-z'
'x,-y+1/2,z'
loop_
_atom_site_label
_atom_site_type_symbol
_atom_site_fract_x
_atom_site_fract_y
_atom_site_fract_z
Sr1 Sr 0.012 0.250 0.246
Sr2 Sr 0.137 0.250 0.563
Sr3 Sr 0.142 0.750 0.106
Sr4 Sr 0.249 0.250 0.923
Ru1 Ru 0.062 0.250 0.912
Ru2 Ru 0.063 0.750 0.416
Ru3 Ru 0.188 0.750 0.754
O1 O 0.000 0.000 0.000
O2 O 0.000 0.000 0.500
O3 O 0.004 0.750 0.251
O4 O 0.120 0.000 0.828
O5 O 0.122 0.250 0.068
O6 O 0.122 0.750 0.583
O7 O 0.124 0.509 0.341
O8 O 0.240 0.750 0.921
O9 O 0.242 0.504 0.672
```


3.
This record from Alexandria via LeMat-Bulk describes a PBEsol-optimized structure of Sr3Ru2O7. The functional is SCAN.

Calculated values
ΔE to the lowest computed polymorph: 0 meV/atom
Fermi-level density of states: 0.231 states/eV per atom
Mass density: 6194 kg/m3
Uncorrected formation energy: -52.09 kcal/mol of atoms
V: 619 Å³ per cell

```
data_Sr3Ru2O7
_chemical_formula_sum 'Sr12 Ru8 O28'
_symmetry_space_group_name_H-M 'C c c e'
_symmetry_Int_Tables_number 68
_cell_length_a 5.481
_cell_length_b 20.597
_cell_length_c 5.481
_cell_angle_alpha 90.00
_cell_angle_beta 90.00
_cell_angle_gamma 90.00
loop_
_symmetry_equiv_pos_as_xyz
'x,y,z'
'-x,-y,-z'
'-x+1/2,-y,z'
'x+1/2,y,-z'
'x+1/2,-y,-z+1/2'
'-x+1/2,y,z+1/2'
'-x,y,-z+1/2'
'x,-y,z+1/2'
'x+1/2,y+1/2,z'
'-x+1/2,-y+1/2,-z'
'-x,-y+1/2,z'
'x,y+1/2,-z'
'x,-y+1/2,-z+1/2'
'-x,y+1/2,z+1/2'
'-x+1/2,y+1/2,-z+1/2'
'x+1/2,-y+1/2,z+1/2'
loop_
_atom_site_label
_atom_site_type_symbol
_atom_site_fract_x
_atom_site_fract_y
_atom_site_fract_z
Sr1 Sr 0.000 0.064 0.250
Sr2 Sr 0.000 0.250 0.250
Ru1 Ru 0.000 0.153 0.750
O1 O 0.000 0.055 0.750
O2 O 0.000 0.250 0.750
O3 O 0.210 0.154 0.040
```


4.
This record from Alexandria via LeMat-Bulk describes a PBEsol-optimized structure of Sr2Ru3O10. The functional is SCAN.

Calculated values
Fermi-level density of states: 0.257 states/eV per atom
Mass density: 5424 kg/m3
Uncorrected formation energy: -37.90 kcal/mol of atoms
V: 391 Å³ per cell

```
data_Sr2Ru3O10
_chemical_formula_sum 'Sr4 Ru6 O20'
_symmetry_space_group_name_H-M 'C 1 2/m 1'
_symmetry_Int_Tables_number 12
_cell_length_a 11.145
_cell_length_b 5.500
_cell_length_c 6.552
_cell_angle_alpha 90.00
_cell_angle_beta 103.22
_cell_angle_gamma 90.00
loop_
_symmetry_equiv_pos_as_xyz
'x,y,z'
'-x,-y,-z'
'-x,y,-z'
'x,-y,z'
'x+1/2,y+1/2,z'
'-x+1/2,-y+1/2,-z'
'-x+1/2,y+1/2,-z'
'x+1/2,-y+1/2,z'
loop_
_atom_site_label
_atom_site_type_symbol
_atom_site_fract_x
_atom_site_fract_y
_atom_site_fract_z
Sr1 Sr 0.176 0.000 0.157
Ru1 Ru 0.000 0.272 0.500
Ru2 Ru 0.000 0.500 0.000
O1 O 0.003 0.254 0.797
O2 O 0.111 0.000 0.532
O3 O 0.136 0.500 0.552
O4 O 0.171 0.500 0.068
```


5.
This record from Alexandria via LeMat-Bulk describes a PBEsol-optimized structure of Sr3Ru2O7. The functional is SCAN.

Calculated values
ΔE to the lowest computed polymorph: 6 meV/atom
Fermi-level density of states: 0.211 states/eV per atom
Mass density: 6207 kg/m3
Uncorrected formation energy: -51.95 kcal/mol of atoms
V: 309 Å³ per cell

```
data_Sr3Ru2O7
_chemical_formula_sum 'Sr6 Ru4 O14'
_symmetry_space_group_name_H-M 'I 4/m m m'
_symmetry_Int_Tables_number 139
_symmetry_space_group_name_Hall '-I 4 2'
_cell_length_a 3.898
_cell_length_b 3.898
_cell_length_c 20.323
_cell_angle_alpha 90.00
_cell_angle_beta 90.00
_cell_angle_gamma 90.00
loop_
_atom_site_label
_atom_site_type_symbol
_atom_site_fract_x
_atom_site_fract_y
_atom_site_fract_z
Sr1 Sr 0.000 0.000 0.000
Sr2 Sr 0.000 0.000 0.185
Ru1 Ru 0.000 0.000 0.402
O1 O 0.000 0.000 0.304
O2 O 0.000 0.000 0.500
O3 O 0.000 0.500 0.097
```


6.
This record from Alexandria via LeMat-Bulk describes a PBEsol-optimized structure of Sr4Ru2O9. The functional is SCAN.

Calculated values
Mass density: 5433 kg/m3
Uncorrected formation energy: -53.12 kcal/mol of atoms
V: 639 Å³ per cell

```
data_Sr4Ru2O9
_chemical_formula_sum 'Sr12 Ru6 O27'
_symmetry_space_group_name_H-M 'P 3 2 1'
_symmetry_Int_Tables_number 150
_cell_length_a 9.6016
_cell_length_b 9.6016
_cell_length_c 8.0007
_cell_angle_alpha 90.00
_cell_angle_beta 90.00
_cell_angle_gamma 120.00
loop_
_symmetry_equiv_pos_as_xyz
'x,y,z'
'-y,x-y,z'
'-x+y,-x,z'
'y,x,-z'
'x-y,-y,-z'
'-x,-x+y,-z'
loop_
_atom_site_label
_atom_site_type_symbol
_atom_site_fract_x
_atom_site_fract_y
_atom_site_fract_z
Sr1 Sr 0.0000 0.6531 0.0000
Sr2 Sr 0.0000 0.6733 0.5000
Sr3 Sr 0.0137 0.3339 0.2516
Ru1 Ru 0.0000 0.0000 0.3448
Ru2 Ru 0.3333 0.6667 0.0999
Ru3 Ru 0.3333 0.6667 0.4125
O1 O 0.0000 0.1658 0.5000
O2 O 0.0102 0.8359 0.7765
O3 O 0.1518 0.6443 0.2545
O4 O 0.1758 0.4876 0.9779
O5 O 0.1769 0.4947 0.5337
```